(1)
A plane-wave DFT calculation with GGA-PBE was carried out for a relaxed structure of NaHoCO4.

```
NaHoCO4
1.0
5.481 0.000 0.000
2.741 5.273 -0.267
2.741 1.352 5.104
Na Ho C O
2 2 2 8
direct
0.500 0.000 0.500 Na
0.000 0.000 0.500 Na
0.000 0.000 0.000 Ho
0.000 0.500 0.500 Ho
0.633 0.617 0.117 C
0.367 0.383 0.883 C
0.719 0.706 0.857 O
0.281 0.643 0.794 O
0.719 0.357 0.206 O
0.281 0.294 0.143 O
0.293 0.736 0.236 O
0.736 0.736 0.236 O
0.264 0.264 0.764 O
0.707 0.264 0.764 O
```

***

(2)
A plane-wave DFT calculation with GGA-PBE was carried out for a relaxed structure of Na2HoPCO7.

```
Na2HoPCO7
1.0
6.979 0.000 0.000
0.000 5.194 -0.026
0.000 0.104 9.418
Na Ho P C O
4 2 2 2 14
direct
0.492 0.246 0.791 Na
0.008 0.246 0.791 Na
0.508 0.754 0.209 Na
0.992 0.754 0.209 Na
0.750 0.785 0.626 Ho
0.250 0.215 0.374 Ho
0.250 0.703 0.582 P
0.750 0.297 0.418 P
0.750 0.745 0.916 C
0.250 0.255 0.084 C
0.250 0.284 0.951 O
0.750 0.971 0.853 O
0.750 0.547 0.828 O
0.068 0.814 0.652 O
0.432 0.814 0.652 O
0.750 0.225 0.580 O
0.250 0.402 0.593 O
0.750 0.598 0.407 O
0.250 0.775 0.420 O
0.568 0.186 0.348 O
0.932 0.186 0.348 O
0.250 0.453 0.172 O
0.250 0.029 0.147 O
0.750 0.716 0.049 O
```

Output
- DOS(E_F) (states/eV per atom) = 0.00

***

no.,ΔE_f (raw) (meV per atom)
1,-1766
2,-2364